The following is a PBE calculation of crystalline Ac2GaS5 at its relaxed geometry, from Alexandria via LeMat-Bulk.

Cell: 6.949 6.949 8.179 Å, 90.00 90.00 90.00°
Space group I4mm (No. 107)
Unique sites:
Ac1 0.000 0.500 0.000 (multiplicity 4)
Ga1 0.000 0.000 0.300 (multiplicity 2)
S1 0.000 0.000 0.575 (multiplicity 2)
S2 0.238 0.238 0.239 (multiplicity 8)

Computed properties:
Calculated total energy ... -5.3081 eV per atom
Calculated volume ... 24.68 Å³ per atom